Here is ReMo3O after structural relaxation from Alexandria via LeMat-Bulk. Energies are from GGA+U.

Summary:
* spin magnetization: 2.146 μB/atom
* raw total energy: -5.515 eV/atom
* energy above the most stable polymorph in this dataset: 1533.7 meV per atom
* mass density: 6.36 Mg/m³

a b c (Å): 5.038 5.038 5.038
angles (deg): 90.00 90.00 90.00
Positions (direct):
Re (0.000, 0.000, 0.000)
Mo (0.000, 0.000, 0.500)
Mo (0.000, 0.500, 0.000)
Mo (0.500, 0.000, 0.000)
O (0.500, 0.500, 0.500)